PmH3Pt3: optimized geometry, PBE.

Computed properties:
**Calculated total energy**: -73.91 eV per cell

abc: 4.778 6.380 6.380
angles: 120.00 90.00 90.00
Element x y z (fractional)
Pt1 0.250 0.144 0.289
Pt2 0.250 0.711 0.856
Pt3 0.250 0.144 0.856
Pt4 0.750 0.856 0.711
Pt5 0.750 0.289 0.144
Pt6 0.750 0.856 0.144
H1 0.750 0.556 0.112
H2 0.750 0.556 0.444
H3 0.250 0.444 0.888
H4 0.750 0.888 0.444
H5 0.250 0.112 0.556
H6 0.250 0.444 0.556
Pm1 0.750 0.333 0.667
Pm2 0.250 0.667 0.333

Li3Pm2Ge4Rh: optimized geometry, PBE.

Computed properties:
**Formation enthalpy at 0 K**: -0.6116 eV per atom

abc: 4.248 4.248 10.158
angles: 90.00 90.00 90.00
Element x y z (fractional)
Li1 0.500 0.000 0.869
Li2 0.000 0.500 0.131
Li3 0.000 0.000 0.500
Ge1 0.500 0.000 0.627
Ge2 0.500 0.500 0.000
Ge3 0.000 0.000 0.000
Ge4 0.000 0.500 0.373
Rh1 0.500 0.500 0.500
Pm1 0.000 0.500 0.752
Pm2 0.500 0.000 0.248

Pa2Si4Ir3Pd: optimized geometry, PBE.

Computed properties:
**Calculated total energy**: -81.77 eV per cell

abc: 4.143 4.143 9.895
angles: 90.00 90.00 90.00
Element x y z (fractional)
Pa1 0.500 0.000 0.245
Pa2 0.000 0.500 0.755
Ir1 0.500 0.000 0.873
Ir2 0.000 0.000 0.500
Ir3 0.000 0.500 0.127
Si1 0.000 0.000 0.000
Si2 0.500 0.000 0.635
Si3 0.500 0.500 0.000
Si4 0.000 0.500 0.365
Pd1 0.500 0.500 0.500